# 1
Here is crystalline LiMg2C at its relaxed geometry from Alexandria via LeMat-Bulk. Energies are from GGA-PBE.

Total magnetization ... 0.086 μB per atom
D(E_F) ... 0.57 states/eV per atom
Calculated total energy ... -23.755 eV per cell

Lattice parameters (Å, degrees): 6.6802 6.6802 6.6802 119.97 119.97 90.06
With the nearest neighbours (Å) after each atom.
Atoms (fractional coordinates):
1 Li 0.3750 0.6250 0.7500  12 Mg 3.92, 4 C 4.09, 4 Li 4.09
2 Li 0.6250 0.3750 0.2500  12 Mg 3.92, 4 Li 4.09, 4 C 4.09
3 Mg 0.0000 0.0000 0.0000  2 C 2.05
4 Mg 0.0000 0.0000 0.5000  2 C 2.05
5 Mg 0.0000 0.5000 0.0000  2 C 2.05
6 Mg 0.5000 0.0000 0.5000  2 C 2.05
7 C 0.1250 0.8750 0.2500  4 Mg 2.05
8 C 0.8750 0.1250 0.7500  4 Mg 2.05



# 2
Here is crystalline InSbPb at its relaxed geometry from Alexandria via LeMat-Bulk. Energies are from GGA-PBE.

Total magnetization ... 0.000 μB per atom
D(E_F) ... 0.39 states/eV per atom
Calculated total energy ... -10.513 eV per cell

Lattice parameters (Å, degrees): 4.4902 4.4902 5.4715 90.00 90.00 120.00
With the nearest neighbours (Å) after each atom.
Atoms (fractional coordinates):
1 In 0.0000 0.0000 0.0000  3 Sb 3.04, 3 Pb 3.34
2 Sb 0.6667 0.3333 0.7106  3 In 3.04, 3 Pb 3.15
3 Pb 0.3333 0.6667 0.3837  3 Sb 3.15, 3 In 3.34



# 3
Here is crystalline ZrSeN2F at its relaxed geometry from Alexandria via LeMat-Bulk. Energies are from GGA-PBE.

Total magnetization ... 0.102 μB per atom
D(E_F) ... 0.53 states/eV per atom
Calculated total energy ... -28.278 eV per cell

Lattice parameters (Å, degrees): 4.0418 4.0418 3.9101 90.00 90.00 90.00
With the nearest neighbours (Å) after each atom.
Atoms (fractional coordinates):
1 Zr 0.0000 0.0000 0.0000  8 N 2.81, 4 F 2.86
2 Se 0.5000 0.5000 0.5000  2 F 1.96, 4 N 2.02
3 N 0.0000 0.5000 0.5000  2 Se 2.02
4 N 0.5000 0.0000 0.5000  2 Se 2.02
5 F 0.5000 0.5000 0.0000  2 Se 1.96



# 4
Here is crystalline LiTmCl4 at its relaxed geometry from Alexandria via LeMat-Bulk. Energies are from GGA-PBE.

Total magnetization ... 0.000 μB per atom
D(E_F) ... 0.00 states/eV per atom
Calculated total energy ... -26.401 eV per cell

Lattice parameters (Å, degrees): 6.6237 3.8811 6.6749 90.00 95.66 90.00
With the nearest neighbours (Å) after each atom.
Atoms (fractional coordinates):
1 Li 0.0000 0.0000 0.0000  6 Cl 2.59-2.77
2 Tm 0.0000 0.5000 0.5000  6 Cl 2.57-2.64
3 Cl 0.1973 0.5000 0.1876  1 Tm 2.57, 2 Li 2.59
4 Cl 0.2256 0.0000 0.6726  2 Tm 2.64, 1 Li 2.77
5 Cl 0.7744 0.0000 0.3274  2 Tm 2.64, 1 Li 2.77
6 Cl 0.8027 0.5000 0.8124  1 Tm 2.57, 2 Li 2.59